[1]
This record from Alexandria via LeMat-Bulk describes Mn2GePd5 after structural relaxation. The functional is PBE-GGA.

Formation energy = -367.6 meV/atom

a b c (Å): 4.0995 5.5126 10.6947
angles (deg): 90.00 90.00 90.00
With the nearest neighbours (Å) after each atom.
Fractional coordinates of all 16 atoms:
Pd: 0.0000 0.5000 0.5000  4 Mn 2.73, 2 Ge 2.76, 6 Pd 2.81-2.90
Ge: 0.0000 0.5000 0.0000  8 Pd 2.57-2.76
Mn: 0.5000 0.6796 0.6403  10 Pd 2.69-2.84
Pd: 0.5000 0.8092 0.3930  2 Ge 2.57, 4 Mn 2.70-2.84, 2 Pd 2.88
Pd: 0.5000 0.1908 0.6070  2 Ge 2.57, 4 Mn 2.70-2.84, 2 Pd 2.88
Mn: 0.5000 0.1796 0.8597  10 Pd 2.69-2.84
Mn: 0.5000 0.3204 0.3597  10 Pd 2.69-2.84
Pd: 0.5000 0.6908 0.8930  2 Ge 2.57, 4 Mn 2.70-2.84, 2 Pd 2.88
Pd: 0.0000 0.9299 0.7401  1 Ge 2.60, 4 Mn 2.69-2.78, 5 Pd 2.76-2.88
Mn: 0.5000 0.8204 0.1403  10 Pd 2.69-2.84
Pd: 0.0000 0.0000 0.0000  4 Mn 2.73, 2 Ge 2.76, 6 Pd 2.81-2.90
Ge: 0.0000 0.0000 0.5000  8 Pd 2.57-2.76
Pd: 0.0000 0.5701 0.2401  1 Ge 2.60, 4 Mn 2.69-2.78, 5 Pd 2.76-2.88
Pd: 0.0000 0.4299 0.7599  1 Ge 2.60, 4 Mn 2.69-2.78, 5 Pd 2.76-2.88
Pd: 0.0000 0.0701 0.2599  1 Ge 2.60, 4 Mn 2.69-2.78, 5 Pd 2.76-2.88
Pd: 0.5000 0.3092 0.1070  2 Ge 2.57, 4 Mn 2.70-2.84, 2 Pd 2.88

***

[2]
This record from Alexandria via LeMat-Bulk describes LiZnO after structural relaxation. The functional is PBE-GGA.

Formation energy from raw total energies = -1130 meV per atom

a b c (Å): 5.1623 5.1623 5.1623
angles (deg): 33.71 33.71 33.71
With the nearest neighbours (Å) after each atom.
Fractional coordinates of all 3 atoms:
O: 0.6997 0.6997 0.6997  3 Li 1.98, 3 Zn 2.09
Li: 0.9670 0.9670 0.9670  3 O 1.98
Zn: 0.4465 0.4465 0.4465  3 O 2.09

***

[3]
This record from Alexandria via LeMat-Bulk describes Al2InGaCl8 after structural relaxation. The functional is PBE-GGA.

Formation energy from raw total energies = -1303 meV per atom

a b c (Å): 7.2559 7.2559 9.5325
angles (deg): 90.00 90.00 120.00
With the nearest neighbours (Å) after each atom.
Fractional coordinates of all 12 atoms:
Cl: 0.6579 0.8290 0.7724  1 Al 2.17
Cl: 0.6667 0.3333 0.5296  1 Al 2.13
Cl: 0.3333 0.6667 0.4704  1 Al 2.13
Cl: 0.3421 0.1710 0.2276  1 Al 2.17
Cl: 0.8290 0.1710 0.2276  1 Al 2.17
In: 0.0000 0.0000 0.5000  6 Cl 3.37
Cl: 0.1710 0.8290 0.7724  1 Al 2.17
Al: 0.6667 0.3333 0.3061  4 Cl 2.13-2.17
Cl: 0.8290 0.6579 0.2276  1 Al 2.17
Ga: 0.0000 0.0000 0.0000  6 Cl 3.05
Al: 0.3333 0.6667 0.6939  4 Cl 2.13-2.17
Cl: 0.1710 0.3421 0.7724  1 Al 2.17

***

[4]
This record from Alexandria via LeMat-Bulk describes CoNiBi2 after structural relaxation. The functional is PBE-GGA.

Offset from the most stable computed form = 0.1354 eV per atom
Formation energy = 549.4 meV/atom

a b c (Å): 6.4204 6.4204 6.5429
angles (deg): 60.62 60.62 90.00
With the nearest neighbours (Å) after each atom.
Fractional coordinates of all 8 atoms:
Ni: 0.7500 0.2500 0.5000  4 Bi 2.58
Ni: 0.0000 0.0000 0.0000  4 Bi 2.58
Bi: 0.8750 0.8704 0.7500  2 Co 2.54, 2 Ni 2.58
Co: 0.5000 0.5000 0.0000  4 Bi 2.54
Bi: 0.1296 0.6250 0.2500  2 Co 2.54, 2 Ni 2.58
Co: 0.2500 0.7500 0.5000  4 Bi 2.54
Bi: 0.6204 0.1250 0.2500  2 Co 2.54, 2 Ni 2.58
Bi: 0.3750 0.3796 0.7500  2 Co 2.54, 2 Ni 2.58

***

[5]
This record from Alexandria via LeMat-Bulk describes CsHgBiBr6 after structural relaxation. The functional is PBE-GGA.

Formation energy from raw total energies = -887 meV per atom

a b c (Å): 7.5004 7.5005 8.0762
angles (deg): 90.00 90.00 60.00
With the nearest neighbours (Å) after each atom.
Fractional coordinates of all 9 atoms:
Br: 0.3772 0.0031 0.7075  1 Hg 2.87, 1 Bi 2.90
Br: 0.3772 0.6196 0.2924  1 Hg 2.87, 1 Bi 2.90
Cs: 0.0000 0.0000 0.0000  6 Br 3.69-3.70
Bi: 0.6667 0.6667 0.5000  6 Br 2.90
Hg: 0.3333 0.3334 0.5000  6 Br 2.87
Br: 0.0031 0.6196 0.7075  1 Hg 2.87, 1 Bi 2.90
Br: 0.0031 0.3773 0.2925  1 Hg 2.87, 1 Bi 2.90
Br: 0.6196 0.0031 0.2925  1 Hg 2.87, 1 Bi 2.90
Br: 0.6196 0.3773 0.7075  1 Hg 2.87, 1 Bi 2.90

***

[6]
This record from Alexandria via LeMat-Bulk describes Cr2NiAs after structural relaxation. The functional is PBE-GGA.

Formation energy = 45.5 meV/atom

a b c (Å): 4.5393 4.5393 3.5854
angles (deg): 66.74 66.74 46.49
With the nearest neighbours (Å) after each atom.
Fractional coordinates of all 4 atoms:
As: 0.2500 0.2500 0.2500  4 Ni 2.53, 8 Cr 2.60
Ni: 0.7500 0.7500 0.7500  4 As 2.53, 8 Cr 2.60
Cr: 0.0000 0.0000 0.9999  4 Cr 2.53-2.54, 4 As 2.60, 4 Ni 2.60
Cr: 0.5000 0.5000 0.5001  4 Cr 2.53-2.54, 4 As 2.60, 4 Ni 2.60

***

[7]
This record from Alexandria via LeMat-Bulk describes In2HgPtBr after structural relaxation. The functional is PBE-GGA.

Formation energy from raw total energies = -421 meV per atom

a b c (Å): 5.2453 5.2453 5.3517
angles (deg): 90.00 90.00 90.00
With the nearest neighbours (Å) after each atom.
Fractional coordinates of all 5 atoms:
Pt: 0.0000 0.0000 0.0000  4 In 2.62, 2 Hg 2.68
Br: 0.5000 0.5000 0.5000  4 Hg 3.71, 8 In 3.75
In: 0.5000 0.0000 0.0000  2 Pt 2.62
Hg: 0.0000 0.0000 0.5000  2 Pt 2.68
In: 0.0000 0.5000 0.0000  2 Pt 2.62

***

[8]
This record from Alexandria via LeMat-Bulk describes CaTm2MoN4 after structural relaxation. The functional is PBE-GGA.

Formation energy from raw total energies = -1127 meV per atom

a b c (Å): 3.3131 6.1758 12.0229
angles (deg): 90.00 90.00 105.56
With the nearest neighbours (Å) after each atom.
Fractional coordinates of all 16 atoms:
N: 0.0000 0.0000 0.5000  4 Tm 2.29
Tm: 0.6270 0.2540 0.0393  5 N 2.27-2.47
N: 0.2618 0.5235 0.1138  1 Mo 1.87
Mo: 0.8147 0.6295 0.7500  2 N 1.87
N: 0.4271 0.8543 0.7500  2 Mo 2.13
Tm: 0.3730 0.7460 0.9607  5 N 2.27-2.47
Tm: 0.3730 0.7460 0.5393  5 N 2.27-2.47
Ca: 0.0723 0.1446 0.7500  2 N 2.39
N: 0.0000 0.0000 0.0000  4 Tm 2.29
N: 0.5729 0.1457 0.2500  2 Mo 2.13
Mo: 0.1853 0.3705 0.2500  2 N 1.87
Tm: 0.6270 0.2540 0.4607  5 N 2.27-2.47
N: 0.7382 0.4765 0.8862  1 Mo 1.87
N: 0.2618 0.5235 0.3862  1 Mo 1.87
N: 0.7382 0.4765 0.6138  1 Mo 1.87
Ca: 0.9277 0.8554 0.2500  2 N 2.39

***

| no. | total magnetic moment (μB/cell) | total energy (eV per atom) |
| --- | --- | --- |
| 1 | 19.13 | -6.48 |
| 2 | 0.00 | -3.85 |
| 3 | 0.00 | -3.64 |
| 4 | 0.00 | -4.61 |
| 5 | 0.00 | -2.56 |
| 6 | 1.87 | -7.37 |
| 7 | 0.00 | -3.12 |
| 8 | 0.00 | -8.01 |